Entry from Alexandria: a relaxed structure of HgH2Au (GGA-PBE).

Cell lengths 5.3147, 5.3147, 5.6467 Å; angles 61.93, 61.93, 90.00 degrees
Last column: nearest neighbours and their distance in Å.
Fractional coordinates of all 8 atoms:
1 H 0.4702 0.1250 0.2500  2 Au 1.77
2 H 0.2798 0.6250 0.2500  2 Au 1.77
3 H 0.3750 0.5298 0.7500  2 Au 1.77
4 H 0.8750 0.7202 0.7500  2 Au 1.77
5 Au 0.5000 0.5000 0.0000  4 H 1.77
6 Au 0.2500 0.7500 0.5000  4 H 1.77
7 Hg 0.0000 0.0000 0.0000  4 H 2.74
8 Hg 0.7500 0.2500 0.5000  4 H 2.74

Calculated values
- Density of states at the Fermi level: 2.30 states/eV per cell
- Mass density: 11.15 Mg/m³
- VASP energy: -2.221 eV per atom
- Relative energy among the computed polymorphs: 0.2965 eV per atom